Compound: Y3ScRu
Source: Alexandria
Functional: PBE
Structure: relaxed

```
Y3ScRu
1.0
5.279 0.000 0.000
0.000 5.279 0.000
0.000 0.000 5.279
Y Sc Ru
3 1 1
Direct
0.000 0.000 0.500
0.000 0.500 0.000
0.500 0.000 0.000
0.000 0.000 0.000
0.500 0.500 0.500
```

Summary:
final energy: -28.59 eV per cell
size of the total moment: 0.554 μB per atom
ΔH_f (0 K): 123.7 kJ per mole of atoms